DFT (GGA-PBE) results for crystalline CaRh2Cl2 at its relaxed geometry.

Values from the calculation:
E_form (uncorrected) = -0.21 eV per atom
Crystal system = tetragonal
Energy above the lowest structure with this stoichiometry = 0.0 kJ per mole of atoms
Size of the total moment = 0.00 μB/cell

a = 7.3066 Å, b = 7.3066 Å, c = 3.8430 Å
α = 90.00°, β = 90.00°, γ = 90.00°
With the nearest neighbours (Å) after each atom.
Space group P4/mbm (No. 127)
Unique sites:
1 Ca 0.0000 0.0000 0.0000 x2  4 Rh 2.92, 8 Cl 3.22
2 Rh 0.1174 0.3826 0.0000 x4  2 Cl 2.38, 1 Rh 2.43
3 Cl 0.2462 0.7462 0.5000 x4  2 Rh 2.38

=====

DFT (GGA-PBE) results for crystalline Ac2Cu5Rh5 at its relaxed geometry.

Values from the calculation:
Crystal system = orthorhombic
Formation energy = -0.320 eV/atom
Size of the total moment = 0.00 μB/cell

a = 4.1069 Å, b = 5.4814 Å, c = 9.2260 Å
α = 90.00°, β = 90.00°, γ = 90.00°
With the nearest neighbours (Å) after each atom.
Space group Pmmm (No. 47)
Unique sites:
1 Ac 0.0000 0.0000 0.0000 x1  10 Cu 3.08-3.42, 8 Rh 3.36
2 Ac 0.0000 0.5000 0.5000 x1  6 Cu 3.10-3.14, 12 Rh 3.40-3.42
3 Cu 0.0000 0.0000 0.3335 x2  6 Rh 2.56-2.60
4 Cu 0.0000 0.5000 0.1644 x2  2 Cu 2.55, 4 Rh 2.58
5 Cu 0.5000 0.5000 0.0000 x1  4 Cu 2.55, 4 Rh 2.65
6 Rh 0.5000 0.0000 0.5000 x1  4 Cu 2.56, 4 Rh 2.72
7 Rh 0.5000 0.2521 0.2463 x4  5 Cu 2.58-2.65, 3 Rh 2.72-2.76

=====

DFT (GGA-PBE) results for crystalline TbAl2Cr at its relaxed geometry.

Values from the calculation:
Crystal system = trigonal
Formation energy = 0.203 eV/atom
Size of the total moment = 7.95 μB/cell

a = 3.1345 Å, b = 3.1345 Å, c = 27.7819 Å
α = 90.00°, β = 90.00°, γ = 120.00°
With the nearest neighbours (Å) after each atom.
Space group R-3m (No. 166, hexagonal axes)
Unique sites:
1 Tb 0.0000 0.0000 0.0000 x3  6 Tb 3.13, 6 Al 3.21
2 Al 0.0000 0.0000 0.2379 x6  3 Cr 2.68
3 Cr 0.0000 0.0000 0.5000 x3  6 Al 2.68

=====

DFT (GGA-PBE) results for crystalline Sr2TiTlAg at its relaxed geometry.

Values from the calculation:
Crystal system = tetragonal
Formation energy = 0.793 eV/atom
Size of the total moment = 0.31 μB/cell

a = 6.2724 Å, b = 6.2724 Å, c = 5.2042 Å
α = 90.00°, β = 90.00°, γ = 90.00°
With the nearest neighbours (Å) after each atom.
Space group P4/mmm (No. 123)
Unique sites:
1 Sr 0.0000 0.5000 0.0000 x2  2 Tl 3.14
2 Ti 0.0000 0.0000 0.5000 x1  8 Sr 4.08, 4 Ag 4.44
3 Tl 0.5000 0.5000 0.0000 x1  2 Ag 2.60
4 Ag 0.5000 0.5000 0.5000 x1  2 Tl 2.60

=====

DFT (GGA-PBE) results for crystalline Ag2OsPt at its relaxed geometry.

Values from the calculation:
Crystal system = cubic
Formation energy = 0.637 eV/atom
Energy above the lowest structure with this stoichiometry = 36.9 kJ per mole of atoms
Size of the total moment = 8.09 μB/cell

a = 6.4128 Å, b = 6.4128 Å, c = 6.4128 Å
α = 90.00°, β = 90.00°, γ = 90.00°
With the nearest neighbours (Å) after each atom.
Space group F-43m (No. 216)
Unique sites:
1 Ag 0.0000 0.0000 0.0000 x4  4 Os 2.78, 4 Ag 2.78
2 Ag 0.2500 0.2500 0.2500 x4  4 Ag 2.78, 4 Pt 2.78
3 Os 0.2500 0.2500 0.7500 x4  4 Pt 2.78, 4 Ag 2.78
4 Pt 0.0000 0.0000 0.5000 x4  4 Ag 2.78, 4 Os 2.78

=====

DFT (GGA-PBE) results for crystalline Pm3YCd3 at its relaxed geometry.

Values from the calculation:
Crystal system = orthorhombic
Formation energy = -0.159 eV/atom
Size of the total moment = 4.20 μB/cell

a = 10.7298 Å, b = 10.8991 Å, c = 7.1823 Å
α = 90.00°, β = 90.00°, γ = 90.00°
With the nearest neighbours (Å) after each atom.
Space group Cmmm (No. 65)
Unique sites:
1 Pm 0.0000 0.2456 0.0000 x4  6 Cd 3.24-3.30, 2 Y 3.59
2 Pm 0.2335 0.0000 0.0000 x4  6 Cd 3.28-3.37, 4 Pm 3.59-3.67
3 Pm 0.2398 0.0000 0.5000 x4  6 Cd 3.25-3.32, 2 Pm 3.59
4 Y 0.0000 0.2463 0.5000 x4  6 Cd 3.21-3.30, 2 Pm 3.59
5 Cd 0.0000 0.5000 0.2488 x4  6 Pm 3.30-3.37, 2 Y 3.30, 2 Cd 3.57-3.61
6 Cd 0.2500 0.2500 0.2538 x8  2 Y 3.21, 6 Pm 3.24-3.28, 1 Cd 3.54

=====

DFT (GGA-PBE) results for crystalline Ni9Sn2Te at its relaxed geometry.

Values from the calculation:
E_form (uncorrected) = -0.11 eV per atom
Crystal system = tetragonal
Size of the total moment = 0.00 μB/cell

a = 3.7403 Å, b = 3.7403 Å, c = 11.1998 Å
α = 90.00°, β = 90.00°, γ = 90.00°
With the nearest neighbours (Å) after each atom.
Space group P4/mmm (No. 123)
Unique sites:
1 Ni 0.0000 0.0000 0.0000 x1  8 Ni 2.64, 4 Te 2.64
2 Ni 0.0000 0.0000 0.3318 x2  8 Ni 2.63-2.65, 4 Sn 2.65
3 Ni 0.0000 0.5000 0.1663 x4  8 Ni 2.63-2.64, 2 Te 2.64, 2 Sn 2.66
4 Ni 0.0000 0.5000 0.5000 x2  4 Sn 2.63, 8 Ni 2.64-2.65
5 Sn 0.5000 0.5000 0.3348 x2  12 Ni 2.63-2.66
6 Te 0.5000 0.5000 0.0000 x1  12 Ni 2.64

=====

DFT (GGA-PBE) results for crystalline Rb3Pm3DyTe8 at its relaxed geometry.

Values from the calculation:
E_form (uncorrected) = -1.32 eV per atom
Crystal system = trigonal
Size of the total moment = 0.00 μB/cell

a = 9.0010 Å, b = 9.0010 Å, c = 26.5443 Å
α = 90.00°, β = 90.00°, γ = 120.00°
With the nearest neighbours (Å) after each atom.
Space group R-3m (No. 166, hexagonal axes)
Unique sites:
1 Rb 0.0000 0.5000 0.0000 x9  6 Te 3.68-3.70
2 Pm 0.0000 0.5000 0.5000 x9  6 Te 3.16-3.17
3 Dy 0.0000 0.0000 0.5000 x3  6 Te 3.12
4 Te 0.0000 0.0000 0.2350 x6  3 Pm 3.17
5 Te 0.0047 0.5023 0.2335 x18  1 Dy 3.12, 2 Pm 3.16

=====

Question: Which formula does entry 2 have?
Answer: Ac2Cu5Rh5

=====

Question: Which value of size of the total moment does entry 6 give?
Answer: 4.20 μB/cell

=====

Question: Which value of size of the total moment does entry 5 give?
Answer: 8.09 μB/cell